Here is a geometry-optimized La8Co3OsCl4 structure from Alexandria. Energies are from GGA-PBE.

a = 8.1120 Å, b = 8.1120 Å, c = 23.0365 Å
α = 90.00°, β = 90.00°, γ = 120.00°
Space group R-3m (No. 166, hexagonal axes)
One atom of each set of equivalent atoms:
La 0.0000 0.0000 0.2318 x6
La 0.0015 0.5007 0.7656 x18
Co 0.0000 0.5000 0.5000 x9
Os 0.0000 0.0000 0.5000 x3
Cl 0.0000 0.0000 0.0000 x3
Cl 0.0000 0.5000 0.0000 x9

Calculated values
- calculated total energy (eV per atom) = -5.907
- formation energy from raw total energies (eV/atom) = -0.95


Here is a geometry-optimized RbHg3Pt structure from Alexandria. Energies are from GGA-PBE.

a = 7.218 Å, b = 7.288 Å, c = 7.654 Å
α = 62.58°, β = 61.90°, γ = 60.35°
Space group P1 (No. 1)
One atom of each set of equivalent atoms:
Rb 0.000 0.000 0.000 x1
Rb 0.108 0.356 0.429 x1
Hg 0.110 0.821 0.489 x1
Hg 0.487 0.044 0.981 x1
Hg 0.522 0.534 0.967 x1
Hg 0.580 0.821 0.489 x1
Hg 0.677 0.169 0.477 x1
Hg 0.976 0.534 0.967 x1
Pt 0.412 0.468 0.708 x1
Pt 0.559 0.622 0.259 x1

Calculated values
- calculated total energy (eV per atom) = -1.767


Here is a geometry-optimized ErZn11Co structure from Alexandria. Energies are from GGA-PBE.

a = 5.063 Å, b = 12.569 Å, c = 6.710 Å
α = 90.00°, β = 111.88°, γ = 90.00°
Space group C2/m (No. 12)
One atom of each set of equivalent atoms:
Er 0.000 0.000 0.000 x2
Zn 0.000 0.500 0.500 x2
Zn 0.117 0.394 0.219 x8
Zn 0.160 0.170 0.358 x8
Zn 0.250 0.250 0.000 x4
Co 0.000 0.000 0.500 x2

Calculated values
- calculated total energy (eV per atom) = -2.142


Here is a geometry-optimized ErTlSe4 structure from Alexandria. Energies are from GGA-PBE.

a = 6.235 Å, b = 6.235 Å, c = 8.378 Å
α = 90.00°, β = 90.00°, γ = 90.00°
Space group P4/nbm (No. 125, origin choice 2)
One atom of each set of equivalent atoms:
Er 0.250 0.250 0.000 x2
Tl 0.250 0.250 0.500 x2
Se 0.112 0.612 0.205 x8

Calculated values
- calculated total energy (eV per atom) = -4.374
- formation energy from raw total energies (eV/atom) = -0.90


Among the records above, which one has the highest calculated total energy?
RbHg3Pt